1.
Here is a relaxed structure of Pm6HC2Cl3 from Alexandria. Energies are from PBE-GGA.

Summary:
total energy = -5.607 eV/atom
magnetic moment = 0.000 μB per atom
ρ = 6.47 g/cm3

Unit cell a=6.5184 b=11.2699 c=7.3352 alpha=90.00 beta=107.34 gamma=90.00
With the nearest neighbours (Å) after each atom.
Space group C2/m (No. 12)
One atom of each set of equivalent atoms:
Pm 0.2158 0.0000 0.1969 (multiplicity 4)  2 C 2.52, 1 H 2.67
Pm 0.2396 0.3256 0.1962 (multiplicity 8)  2 C 2.53, 1 H 2.65
H 0.0000 0.5000 0.0000 (multiplicity 2)  6 Pm 2.65-2.67
C 0.0000 0.1660 0.0000 (multiplicity 4)  6 Pm 2.52-2.53
Cl 0.0000 0.0000 0.5000 (multiplicity 2)  6 Pm 2.96-3.07
Cl 0.0000 0.3312 0.5000 (multiplicity 4)  6 Pm 2.95-3.09

2.
Here is a relaxed structure of Pm6H2C3Cl from Alexandria. Energies are from PBE-GGA.

Summary:
total energy = -5.947 eV/atom
magnetic moment = 0.000 μB per atom
ρ = 6.73 g/cm3

Unit cell a=16.6887 b=3.7473 c=7.7401 alpha=90.00 beta=105.77 gamma=90.00
With the nearest neighbours (Å) after each atom.
Space group C2/m (No. 12)
One atom of each set of equivalent atoms:
Pm 0.0063 0.0000 0.2225 (multiplicity 4)  3 C 2.53-2.56, 1 H 2.80
Pm 0.1606 0.5000 0.1023 (multiplicity 4)  3 C 2.56-2.58, 3 H 2.79-2.86
Pm 0.1772 0.5000 0.5684 (multiplicity 4)  3 C 2.53-2.60, 2 H 2.78
H 0.1663 0.0000 0.8271 (multiplicity 4)  6 Pm 2.78-2.86
C 0.0000 0.5000 0.0000 (multiplicity 2)  6 Pm 2.53-2.58
C 0.1652 0.0000 0.3303 (multiplicity 4)  6 Pm 2.53-2.60
Cl 0.0000 0.5000 0.5000 (multiplicity 2)  6 Pm 2.86-2.87